No. 1
Here is BaLi2Zr after structural relaxation from Alexandria via LeMat-Bulk. Energies are from GGA-PBE.

Computed properties:
SG: Cm, No. 8
Calculated formation energy: 0.469 eV/atom
Total DFT energy (no corrections): -3.11 eV/atom
Spin magnetization: 2.88 μB/cell
D(E_F): 1.1080 states/eV per atom
Calculated density: 3749 kg/m3

The structure in POSCAR format:
```
BaLi2Zr
1.0
11.904 0.000 0.000
0.000 3.333 0.000
-2.065 0.000 5.413
Ba Li Zr
2 4 2
direct
0.000 0.000 0.000
0.500 0.500 0.000
0.263 0.500 0.181
0.453 0.000 0.480
0.763 0.000 0.181
0.953 0.500 0.480
0.207 0.000 0.625
0.707 0.500 0.625
```


No. 2
Here is BaLi2Zr after structural relaxation from Alexandria via LeMat-Bulk. Energies are from GGA-PBE.

Computed properties:
SG: Immm, No. 71
Calculated formation energy: 0.520 eV/atom
Total DFT energy (no corrections): -3.05 eV/atom
Spin magnetization: 0.01 μB/cell
D(E_F): 1.3483 states/eV per atom
Calculated density: 3564 kg/m3

The structure in POSCAR format:
```
BaLi2Zr
1.0
3.550 0.000 0.000
0.000 5.679 0.000
0.000 0.000 11.205
Ba Li Zr
2 4 2
direct
0.000 0.000 0.000
0.500 0.500 0.500
0.000 0.500 0.231
0.000 0.500 0.769
0.500 0.000 0.269
0.500 0.000 0.731
0.000 0.000 0.500
0.500 0.500 0.000
```


No. 3
Here is BaLiZr2 after structural relaxation from Alexandria via LeMat-Bulk. Energies are from GGA-PBE.

Computed properties:
SG: P4mm, No. 99
Calculated formation energy: 0.286 eV/atom
Total DFT energy (no corrections): -4.95 eV/atom
Spin magnetization: 0.00 μB/cell
D(E_F): 0.9596 states/eV per atom
Calculated density: 4756 kg/m3

The structure in POSCAR format:
```
BaLiZr2
1.0
3.344 0.000 0.000
0.000 3.344 0.000
0.000 0.000 10.204
Ba Li Zr
1 1 2
direct
0.000 0.000 0.000
0.500 0.500 0.281
0.000 0.000 0.497
0.500 0.500 0.691
```


No. 4
Here is BaLi2Zr after structural relaxation from Alexandria via LeMat-Bulk. Energies are from GGA-PBE.

Computed properties:
SG: Imm2, No. 44
Calculated formation energy: 0.471 eV/atom
Total DFT energy (no corrections): -3.10 eV/atom
Spin magnetization: 0.00 μB/cell
D(E_F): 1.2374 states/eV per atom
Calculated density: 3834 kg/m3

The structure in POSCAR format:
```
BaLi2Zr
1.0
3.345 0.000 0.000
0.000 5.577 0.000
0.000 0.000 11.256
Ba Li Zr
2 4 2
direct
0.000 0.000 0.000
0.500 0.500 0.500
0.000 0.000 0.460
0.000 0.500 0.768
0.500 0.000 0.268
0.500 0.500 0.960
0.000 0.500 0.208
0.500 0.000 0.708
```


No. 5
Here is Ba2LiZr2 after structural relaxation from Alexandria via LeMat-Bulk. Energies are from GGA-PBE.

Computed properties:
SG: P4/mbm, No. 127
Calculated formation energy: 0.727 eV/atom
Total DFT energy (no corrections): -3.84 eV/atom
Spin magnetization: 0.00 μB/cell
D(E_F): 1.4622 states/eV per atom
Calculated density: 4264 kg/m3

The structure in POSCAR format:
```
Ba2LiZr2
1.0
10.239 0.000 0.000
0.000 10.239 0.000
0.000 0.000 3.448
Ba Li Zr
4 2 4
direct
0.198 0.302 0.000
0.302 0.802 0.000
0.698 0.198 0.000
0.802 0.698 0.000
0.000 0.000 0.000
0.500 0.500 0.000
0.096 0.596 0.500
0.404 0.096 0.500
0.596 0.904 0.500
0.904 0.404 0.500
```


No. 6
Here is BaLiZr4 after structural relaxation from Alexandria via LeMat-Bulk. Energies are from GGA-PBE.

Computed properties:
SG: F-43m, No. 216
Calculated formation energy: 0.605 eV/atom
Total DFT energy (no corrections): -5.73 eV/atom
Spin magnetization: 0.00 μB/cell
D(E_F): 1.5076 states/eV per atom
Calculated density: 5095 kg/m3

The structure in POSCAR format:
```
BaLiZr4
1.0
0.000 4.361 4.361
4.361 0.000 4.361
4.361 4.361 0.000
Ba Li Zr
1 1 4
direct
0.000 0.000 0.000
0.750 0.750 0.750
0.376 0.376 0.376
0.376 0.376 0.872
0.376 0.872 0.376
0.872 0.376 0.376
```


No. 7
Here is BaLiZr2 after structural relaxation from Alexandria via LeMat-Bulk. Energies are from GGA-PBE.

Computed properties:
SG: Cmmm, No. 65
Calculated formation energy: 0.617 eV/atom
Total DFT energy (no corrections): -4.62 eV/atom
Spin magnetization: 0.00 μB/cell
D(E_F): 1.0566 states/eV per atom
Calculated density: 5104 kg/m3

The structure in POSCAR format:
```
BaLiZr2
1.0
3.337 0.000 0.000
0.000 5.443 0.000
0.000 0.000 11.704
Ba Li Zr
2 2 4
direct
0.000 0.000 0.000
0.500 0.500 0.000
0.000 0.000 0.500
0.500 0.500 0.500
0.000 0.500 0.280
0.000 0.500 0.720
0.500 0.000 0.280
0.500 0.000 0.720
```


No. 8
Here is BaLi2Zr after structural relaxation from Alexandria via LeMat-Bulk. Energies are from GGA-PBE.

Computed properties:
SG: Fm-3m, No. 225
Calculated formation energy: 0.551 eV/atom
Total DFT energy (no corrections): -3.02 eV/atom
Spin magnetization: 8.84 μB/cell
D(E_F): 1.5390 states/eV per atom
Calculated density: 3508 kg/m3

The structure in POSCAR format:
```
BaLi2Zr
1.0
7.714 0.000 0.000
0.000 7.714 0.000
0.000 0.000 7.714
Ba Li Zr
4 8 4
direct
0.000 0.000 0.000
0.000 0.500 0.500
0.500 0.000 0.500
0.500 0.500 0.000
0.250 0.250 0.250
0.250 0.250 0.750
0.250 0.750 0.250
0.250 0.750 0.750
0.750 0.250 0.250
0.750 0.250 0.750
0.750 0.750 0.250
0.750 0.750 0.750
0.000 0.000 0.500
0.000 0.500 0.000
0.500 0.000 0.000
0.500 0.500 0.500
```